Density functional theory data (PBE+U) for Li2Fe3NiO8 after structural relaxation.

Lattice parameters (Å, degrees): 9.836 5.733 5.917 90.00 124.24 90.00
Space group C2/m (No. 12)
Asymmetric unit:
Li: 0.250 0.250 0.000
Fe: 0.000 0.000 0.500
Fe: 0.250 0.250 0.500
Ni: 0.000 0.500 0.500
O: 0.009 0.255 0.297
O: 0.231 0.000 0.709
O: 0.231 0.500 0.707

Properties
DFT total energy in eV per atom: -5.591
V in A^3/atom: 9.85
Magnetization in Bohr magnetons per cell: 8.03
Energy above the most stable polymorph in this dataset in meV per atom: 153